Entry 1:
{"formula": "Ag3PtBr2F6", "functional": "GGA-PBE", "state": "relaxed", "space_group": "C2/m, No. 12", "volume_a3_per_cell": 225.4, "total_energy_ev_per_cell": -41.34, "lattice_angstrom": [[5.036, 0.000, 0.276], [0.000, 6.788, 0.000], [-0.344, -3.394, 6.576]], "species": ["F", "F", "Br", "F", "F", "Br", "Pt", "Ag", "F", "Ag", "F", "Ag"], "frac_coords": [[0.714, 0.875, 0.750], [0.707, 0.855, 0.133], [0.144, 0.691, 0.381], [0.707, 0.278, 0.133], [0.293, 0.722, 0.867], [0.856, 0.309, 0.619], [0.500, 0.000, 0.000], [0.000, 0.500, 0.000], [0.293, 0.145, 0.867], [0.500, 0.000, 0.500], [0.286, 0.125, 0.250], [0.500, 0.500, 0.500]]}



Entry 2:
{"formula": "NaNdTe2", "functional": "GGA-PBE", "state": "relaxed", "space_group": "R3m, No. 160", "volume_a3_per_cell": 135.5, "total_energy_ev_per_cell": -17.39, "lattice_angstrom": [[4.416, 0.000, 0.000], [2.208, 3.825, 0.000], [2.208, 1.275, 8.024]], "species": ["Te", "Nd", "Na", "Te"], "frac_coords": [[0.247, 0.247, 0.259], [0.499, 0.499, 0.502], [0.668, 0.668, 0.995], [0.085, 0.085, 0.744]]}



Entry 3:
{"formula": "Sc3MoAu", "functional": "GGA-PBE", "state": "relaxed", "space_group": "Pm-3m, No. 221", "volume_a3_per_cell": 122.3, "ef_mev_per_atom": 375.5, "lattice_angstrom": [[4.964, 0.000, 0.000], [0.000, 4.964, 0.000], [0.000, 0.000, 4.964]], "species": ["Mo", "Sc", "Au", "Sc", "Sc"], "frac_coords": [[0.000, 0.000, 0.000], [0.500, 0.000, 0.000], [0.500, 0.500, 0.500], [0.000, 0.000, 0.500], [0.000, 0.500, 0.000]]}



Entry 4:
{"formula": "DyMgCuNi", "functional": "GGA-PBE", "state": "relaxed", "space_group": "F-43m, No. 216", "volume_a3_per_cell": 70.5, "ef_mev_per_atom": -233.3, "lattice_angstrom": [[4.637, 0.000, 0.000], [2.318, 4.016, 0.000], [2.318, 1.339, 3.786]], "species": ["Mg", "Ni", "Dy", "Cu"], "frac_coords": [[0.250, 0.250, 0.250], [0.000, 0.000, 0.000], [0.750, 0.750, 0.750], [0.500, 0.500, 0.500]]}



- Number 2 is which compound?
  NaNdTe2